Material: LaNp2PdS5
Method: DFT, PBE
State: relaxed

Structure (POSCAR):
```
LaNp2PdS5
1.0
-3.6384 3.6384 6.5931
3.6384 -3.6384 6.5931
3.6384 3.6384 -6.5931
La Np Pd S
2 4 2 10
Cartesian
0.0000 0.0000 3.2966 La
0.0000 0.0000 9.8897 La
4.5003 0.8619 0.0000 Np
0.8619 2.7765 0.0000 Np
2.7765 0.8619 6.5931 Np
-0.8619 2.7765 6.5931 Np
3.6384 0.0000 3.2966 Pd
0.0000 3.6384 3.2966 Pd
0.0000 0.0000 0.0000 S
2.3311 1.3072 -1.7896 S
2.3311 -1.3072 4.8035 S
2.3311 1.3072 1.7896 S
2.3311 -1.3072 8.3828 S
0.0000 0.0000 6.5931 S
1.3072 4.9456 -1.7896 S
1.3072 2.3311 4.8035 S
1.3072 4.9456 1.7896 S
1.3072 2.3311 8.3828 S
```

volume	19.40	A^3/atom
total magnetic moment	6.1	Bohr magnetons per cell
total DFT energy (no corrections)	-7.570	eV/atom
DOS(E_F)	1.2932	states/eV/atom
raw formation energy	-1.28	eV per atom